This record from Alexandria via LeMat-Bulk describes a geometry-optimized Cs2BaAlOs structure. The functional is PBE.

Summary:
The calculation puts the energy of formation from the pure elements at 1.9390 eV/atom. The calculation puts the density of states at the Fermi level at 7.27 states/eV per cell.

Structure (POSCAR):
```
Cs2BaAlOs
1.0
7.525 0.000 0.000
0.000 5.768 0.000
0.000 0.000 7.525
Al Os Cs Ba
1 1 2 1
direct
0.000 0.500 0.000
0.500 0.500 0.500
0.500 0.000 0.000
0.000 0.000 0.500
0.000 0.000 0.000
```

***

This record from Alexandria via LeMat-Bulk describes a geometry-optimized CsBaAlSb2 structure. The functional is PBE.

Summary:
The calculation puts the formation energy from raw total energies at -406.9 meV/atom. The calculation puts the density of states at the Fermi level at 1.46 states/eV per cell.

Structure (POSCAR):
```
CsBaAlSb2
1.0
9.005 0.000 0.000
0.000 5.924 0.000
0.000 0.000 7.764
Al Cs Sb Ba
2 2 4 2
direct
0.000 0.500 0.000
0.000 0.000 0.000
0.158 0.250 0.500
0.842 0.750 0.500
0.749 0.250 0.190
0.749 0.250 0.810
0.251 0.750 0.190
0.251 0.750 0.810
0.639 0.750 0.000
0.361 0.250 0.000
```

***

This record from Alexandria via LeMat-Bulk describes a geometry-optimized CsBaAlTe3 structure. The functional is PBE.

Summary:
The calculation puts the formation energy from raw total energies at -907.6 meV/atom. The calculation puts the density of states at the Fermi level at 0.32 states/eV per cell.

Structure (POSCAR):
```
CsBaAlTe3
1.0
5.697 0.000 0.000
-2.848 9.225 0.070
0.000 -2.632 9.919
Te Al Ba Cs
6 2 2 2
direct
0.136 0.273 0.778
0.864 0.727 0.222
0.499 0.998 0.270
0.842 0.684 0.656
0.501 0.002 0.730
0.158 0.316 0.344
0.989 0.978 0.722
0.011 0.022 0.278
0.356 0.712 0.436
0.644 0.288 0.564
0.351 0.702 0.935
0.649 0.298 0.065
```

***

This record from Alexandria via LeMat-Bulk describes a geometry-optimized BaAl2Cu4 structure. The functional is PBE.

Summary:
The calculation puts the energy of formation from the pure elements at -0.1596 eV/atom. The calculation puts the density of states at the Fermi level at 6.06 states/eV per cell.

Structure (POSCAR):
```
BaAl2Cu4
1.0
-1.203 -2.300 -6.343
-4.858 -2.525 4.123
-0.025 6.851 -0.194
Cu Al Ba
8 4 2
direct
0.500 0.702 0.477
0.775 0.477 0.977
0.500 0.298 0.523
0.775 0.798 0.298
0.500 0.977 0.202
0.225 0.202 0.702
0.500 0.023 0.798
0.225 0.523 0.023
0.808 0.154 0.654
0.192 0.846 0.346
0.500 0.346 0.154
0.500 0.654 0.846
0.000 0.250 0.250
0.000 0.750 0.750
```

***

This record from Alexandria via LeMat-Bulk describes a geometry-optimized BaAlCu2 structure. The functional is PBE.

Summary:
The calculation puts the energy of formation from the pure elements at -0.1875 eV/atom. The calculation puts the density of states at the Fermi level at 4.73 states/eV per cell.

Structure (POSCAR):
```
BaAlCu2
1.0
4.365 0.000 0.000
0.000 6.228 0.000
0.000 0.000 6.891
Ba Al Cu
2 2 4
direct
0.000 0.110 0.500
0.500 0.890 0.000
0.000 0.382 0.000
0.500 0.618 0.500
0.000 0.588 0.314
0.500 0.412 0.814
0.500 0.412 0.186
0.000 0.588 0.686
```

***

This record from Alexandria via LeMat-Bulk describes a geometry-optimized Ba3Al2Cu4 structure. The functional is PBE.

Summary:
The calculation puts the energy of formation from the pure elements at -0.1326 eV/atom. The calculation puts the density of states at the Fermi level at 8.14 states/eV per cell.

Structure (POSCAR):
```
Ba3Al2Cu4
1.0
-2.099 2.834 -2.627
4.435 -3.104 -3.212
-7.050 -5.994 -0.833
Cu Ba Al
4 3 2
direct
0.742 0.485 0.071
0.258 0.515 0.929
0.118 0.236 0.684
0.882 0.764 0.316
0.615 0.230 0.387
0.385 0.770 0.613
0.000 0.000 0.000
0.687 0.374 0.794
0.313 0.626 0.206
```